Record 1
First-principles (PBE) data for crystalline SrP3Os at its relaxed geometry, as listed in Alexandria.

As for the symmetry: No. 221. The energy above the lowest structure with this stoichiometry comes out at 1201 kJ/mol of formula units. For the formation energy, the calculation gives 2.56 eV/atom. Its density of states at the Fermi level is 6.39 states/eV/cell.

Cell: 5.091 5.091 5.091 Å, 90.00 90.00 90.00°
Element x y z (fractional)
Sr 0.000 0.000 0.000
P 0.000 0.500 0.000
Os 0.500 0.500 0.500
P 0.500 0.000 0.000
P 0.000 0.000 0.500

---

Record 2
First-principles (PBE) data for crystalline YPu2N at its relaxed geometry, as listed in Alexandria.

Its total energy is -10.827 eV per atom. As for the symmetry: No. 166. Its density of states at the Fermi level is 7.15 states/eV/cell.

Cell: 3.955 3.955 6.672 Å, 72.76 72.76 60.00°
Element x y z (fractional)
Pu 0.689 0.689 0.932
Y 0.500 0.500 0.500
Pu 0.311 0.311 0.068
N 0.000 0.000 0.000

---

Record 3
First-principles (PBE) data for crystalline Dy5MgAu6 at its relaxed geometry, as listed in Alexandria.

As for the symmetry: No. 12. For the formation energy, the calculation gives -0.82 eV/atom. Its density of states at the Fermi level is 6.64 states/eV/cell.

Cell: 5.017 8.731 8.731 Å, 120.00 106.66 106.66°
Element x y z (fractional)
Mg 0.000 0.000 0.000
Dy 0.500 0.161 0.839
Au 0.749 0.582 0.916
Au 0.251 0.418 0.084
Au 0.756 0.256 0.256
Au 0.244 0.744 0.744
Dy 0.000 0.331 0.669
Au 0.749 0.916 0.582
Dy 0.500 0.500 0.500
Au 0.251 0.084 0.418
Dy 0.500 0.839 0.161
Dy 0.000 0.669 0.331

---

Record 4
First-principles (PBE) data for crystalline CsMg3Tl at its relaxed geometry, as listed in Alexandria.

As for the symmetry: No. 221. The energy above the lowest structure with this stoichiometry comes out at 377 kJ/mol of formula units. For the formation energy, the calculation gives 1.07 eV/atom. Its density of states at the Fermi level is 5.78 states/eV/cell.

Cell: 6.781 6.781 6.781 Å, 90.00 90.00 90.00°
Element x y z (fractional)
Cs 0.000 0.000 0.000
Mg 0.000 0.000 0.500
Tl 0.500 0.500 0.500
Mg 0.500 0.000 0.000
Mg 0.000 0.500 0.000

---

Record 5
First-principles (PBE) data for crystalline Er2BiSb at its relaxed geometry, as listed in Alexandria.

As for the symmetry: No. 160. The energy above the lowest structure with this stoichiometry comes out at 44 kJ/mol of formula units. Its density of states at the Fermi level is 0.50 states/eV/cell.

Cell: 4.361 4.361 7.884 Å, 73.94 73.94 60.00°
Element x y z (fractional)
Bi 0.668 0.668 0.995
Sb 0.499 0.499 0.504
Er 0.250 0.250 0.250
Er 0.083 0.083 0.750

---

Record 6
First-principles (PBE) data for crystalline LiTh3Co8 at its relaxed geometry, as listed in Alexandria.

As for the symmetry: No. 160. For the formation energy, the calculation gives -0.16 eV/atom. Its density of states at the Fermi level is 12.58 states/eV/cell.

Cell: 4.988 4.988 8.868 Å, 73.67 73.67 60.00°
Site moments in Bohr magnetons follow the coordinates.
Element x y z (fractional)
Th 0.987 0.987 0.039  0.01
Co 0.940 0.440 0.680  0.86
Co 0.189 0.189 0.432  0.20
Li 0.870 0.870 0.391  -0.01
Th 0.509 0.509 0.472  -0.08
Co 0.941 0.434 0.190  -0.21
Co 0.440 0.940 0.680  0.86
Th 0.379 0.379 0.864  -0.12
Co 0.434 0.941 0.190  -0.21
Co 0.434 0.434 0.190  -0.21
Co 0.940 0.940 0.680  0.86
Co 0.687 0.687 0.940  -0.04

---

Record 7
First-principles (PBE) data for crystalline InPSeBr2 at its relaxed geometry, as listed in Alexandria.

As for the symmetry: No. 123. The energy above the lowest structure with this stoichiometry comes out at 0 kJ/mol of formula units. Its density of states at the Fermi level is 1.15 states/eV/cell.

Cell: 5.413 5.413 4.841 Å, 90.00 90.00 90.00°
Element x y z (fractional)
P 0.000 0.000 0.000
Se 0.000 0.000 0.500
Br 0.000 0.500 0.000
In 0.500 0.500 0.500
Br 0.500 0.000 0.000

---

Record 8
First-principles (PBE) data for crystalline LaRe2Pt at its relaxed geometry, as listed in Alexandria.

As for the symmetry: No. 166. The energy above the lowest structure with this stoichiometry comes out at 242 kJ/mol of formula units. For the formation energy, the calculation gives 0.60 eV/atom. Its density of states at the Fermi level is 5.31 states/eV/cell.

Cell: 10.371 10.371 10.371 Å, 15.79 15.79 15.79°
Site moments in Bohr magnetons follow the coordinates.
Element x y z (fractional)
Re 0.489 0.489 0.489  0.00
La 0.250 0.250 0.250  -0.07
Pt 0.750 0.750 0.750  0.00
Re 0.011 0.011 0.011  0.00

---

Record 9
First-principles (PBE) data for crystalline BaNa2Pd2 at its relaxed geometry, as listed in Alexandria.

As for the symmetry: No. 12. The energy above the lowest structure with this stoichiometry comes out at 13 kJ/mol of formula units. For the formation energy, the calculation gives -0.23 eV/atom. Its density of states at the Fermi level is 2.44 states/eV/cell.

Cell: 4.583 5.942 6.006 Å, 101.54 112.43 90.00°
Element x y z (fractional)
Na 0.334 0.415 0.668
Ba 0.000 0.000 0.000
Na 0.666 0.585 0.332
Pd 0.277 0.898 0.554
Pd 0.723 0.102 0.446

---

Record 10
First-principles (PBE) data for crystalline Nb6RuRh2 at its relaxed geometry, as listed in Alexandria.

As for the symmetry: No. 71. For the formation energy, the calculation gives 0.23 eV/atom. Its density of states at the Fermi level is 8.33 states/eV/cell.

Cell: 4.311 6.192 7.624 Å, 113.96 106.46 90.00°
Element x y z (fractional)
Rh 0.315 0.315 0.630
Nb 0.843 0.095 0.684
Nb 0.157 0.905 0.316
Nb 0.843 0.589 0.684
Nb 0.500 0.260 0.000
Rh 0.685 0.685 0.370
Nb 0.157 0.411 0.316
Ru 0.000 0.000 0.000
Nb 0.500 0.740 0.000

---

Record 11
First-principles (PBE) data for crystalline LiMg2Cd5Ag2 at its relaxed geometry, as listed in Alexandria.

As for the symmetry: No. 127. For the formation energy, the calculation gives -0.10 eV/atom. Its density of states at the Fermi level is 10.42 states/eV/cell.

Cell: 4.623 9.613 9.613 Å, 90.00 90.00 90.00°
Element x y z (fractional)
Cd 0.500 0.916 0.195
Mg 0.000 0.326 0.826
Cd 0.500 0.195 0.084
Li 0.000 0.500 0.500
Ag 0.000 0.122 0.622
Cd 0.500 0.695 0.416
Cd 0.500 0.305 0.584
Cd 0.500 0.084 0.805
Ag 0.000 0.878 0.378
Mg 0.000 0.674 0.174
Cd 0.500 0.584 0.695
Cd 0.500 0.000 0.500
Cd 0.500 0.805 0.916
Cd 0.500 0.416 0.305
Mg 0.000 0.174 0.326
Mg 0.000 0.826 0.674
Ag 0.000 0.378 0.122
Cd 0.500 0.500 0.000
Ag 0.000 0.622 0.878
Li 0.000 0.000 0.000

---

Record 12
First-principles (PBE) data for crystalline Ho4TlGeTe2 at its relaxed geometry, as listed in Alexandria.

Its total energy is -4.887 eV per atom. As for the symmetry: No. 10. Its density of states at the Fermi level is 4.65 states/eV/cell.

Cell: 4.233 7.394 7.642 Å, 108.49 90.00 90.00°
Element x y z (fractional)
Ho 0.500 0.231 0.226
Ho 0.000 0.758 0.239
Ho 0.500 0.769 0.774
Te 0.500 0.000 0.500
Tl 0.500 0.500 0.000
Ho 0.000 0.242 0.761
Ge 0.000 0.000 0.000
Te 0.000 0.500 0.500

---

Record 13
First-principles (PBE) data for crystalline Y4ErRh5 at its relaxed geometry, as listed in Alexandria.

As for the symmetry: No. 123. For the formation energy, the calculation gives -0.85 eV/atom. Its density of states at the Fermi level is 6.31 states/eV/cell.

Cell: 3.393 3.393 17.514 Å, 90.00 90.00 90.00°
Element x y z (fractional)
Rh 0.500 0.500 0.500
Rh 0.500 0.500 0.299
Y 0.000 0.000 0.400
Rh 0.500 0.500 0.903
Y 0.000 0.000 0.199
Er 0.000 0.000 0.000
Y 0.000 0.000 0.600
Y 0.000 0.000 0.801
Rh 0.500 0.500 0.701
Rh 0.500 0.500 0.097

---

Record 14
First-principles (PBE) data for crystalline CaEuBi at its relaxed geometry, as listed in Alexandria.

As for the symmetry: No. 156. The energy above the lowest structure with this stoichiometry comes out at 27 kJ/mol of formula units. For the formation energy, the calculation gives -0.54 eV/atom. Its density of states at the Fermi level is 9.67 states/eV/cell.

Cell: 4.595 5.262 5.262 Å, 120.00 90.00 90.00°
Site moments in Bohr magnetons follow the coordinates.
Element x y z (fractional)
Ca 0.459 0.333 0.667  -0.10
Bi 0.564 0.667 0.333  0.08
Eu 0.977 0.000 0.000  -7.04

---

Record 15
First-principles (PBE) data for crystalline SbMo2PdAu at its relaxed geometry, as listed in Alexandria.

Its total energy is -5.234 eV per atom. As for the symmetry: No. 123. Its density of states at the Fermi level is 7.43 states/eV/cell.

Cell: 4.972 4.972 4.953 Å, 90.00 90.00 90.00°
Site moments in Bohr magnetons follow the coordinates.
Element x y z (fractional)
Au 0.000 0.000 0.000  0.12
Sb 0.500 0.500 0.500  -0.10
Mo 0.500 0.000 0.000  2.13
Pd 0.000 0.000 0.500  0.12
Mo 0.000 0.500 0.000  2.13

---

Record 16
First-principles (PBE) data for crystalline PdPtW3 at its relaxed geometry, as listed in Alexandria.

As for the symmetry: No. 221. The energy above the lowest structure with this stoichiometry comes out at 67 kJ/mol of formula units. For the formation energy, the calculation gives 2.25 eV/atom. Its density of states at the Fermi level is 7.89 states/eV/cell.

Cell: 4.665 4.665 4.665 Å, 90.00 90.00 90.00°
Element x y z (fractional)
Pt 0.500 0.500 0.500
W 0.000 0.500 0.000
W 0.500 0.000 0.000
W 0.000 0.000 0.500
Pd 0.000 0.000 0.000

---

Record 17
First-principles (PBE) data for crystalline Ag2MoCl5 at its relaxed geometry, as listed in Alexandria.

Its total energy is -3.808 eV per atom. As for the symmetry: No. 63.

Cell: 4.868 7.308 13.125 Å, 90.00 90.00 109.46°
Site moments in Bohr magnetons follow the coordinates.
Element x y z (fractional)
Cl 0.711 0.423 0.250  0.01
Ag 0.137 0.274 0.564  0.02
Ag 0.863 0.726 0.064  0.02
Cl 0.058 0.116 0.381  0.04
Mo 0.181 0.363 0.250  2.43
Cl 0.058 0.116 0.119  0.04
Cl 0.289 0.577 0.750  0.01
Ag 0.137 0.274 0.936  0.02
Cl 0.942 0.884 0.881  0.04
Ag 0.863 0.726 0.436  0.02
Cl 0.942 0.884 0.619  0.04
Cl 0.693 0.385 0.612  0.01
Cl 0.693 0.385 0.888  0.01
Mo 0.819 0.637 0.750  2.43
Cl 0.307 0.615 0.388  0.01
Cl 0.307 0.615 0.112  0.01

---

Record 18
First-principles (PBE) data for crystalline PrSnHgPd at its relaxed geometry, as listed in Alexandria.

As for the symmetry: No. 216. For the formation energy, the calculation gives -0.56 eV/atom. Its density of states at the Fermi level is 2.45 states/eV/cell.

Cell: 5.103 5.103 5.103 Å, 60.00 60.00 60.00°
Element x y z (fractional)
Hg 0.000 0.000 0.000
Pd 0.500 0.500 0.500
Pr 0.250 0.250 0.250
Sn 0.750 0.750 0.750

---

Record 19
First-principles (PBE) data for crystalline CaCeGaPd at its relaxed geometry, as listed in Alexandria.

As for the symmetry: No. 216. For the formation energy, the calculation gives -0.52 eV/atom. Its density of states at the Fermi level is 7.54 states/eV/cell.

Cell: 5.095 5.095 5.095 Å, 60.00 60.00 60.00°
Site moments in Bohr magnetons follow the coordinates.
Element x y z (fractional)
Ga 0.250 0.250 0.250  0.01
Ca 0.500 0.500 0.500  0.00
Ce 0.000 0.000 0.000  0.49
Pd 0.750 0.750 0.750  0.00

---

Record 20
First-principles (PBE) data for crystalline KBaSr2Cl at its relaxed geometry, as listed in Alexandria.

As for the symmetry: No. 123. The energy above the lowest structure with this stoichiometry comes out at 0 kJ/mol of formula units. Its density of states at the Fermi level is 3.60 states/eV/cell.

Cell: 6.246 6.246 6.492 Å, 90.00 90.00 90.00°
Element x y z (fractional)
K 0.000 0.000 0.500
Cl 0.000 0.000 0.000
Sr 0.000 0.500 0.000
Sr 0.500 0.000 0.000
Ba 0.500 0.500 0.500